Entry 1:
Entry from the Alexandria database: crystalline Sn2HgI at its relaxed geometry (PBE).

a = 6.801 Å, b = 6.801 Å, c = 8.703 Å
α = 67.00°, β = 67.00°, γ = 90.00°
Element x y z (fractional)
Sn  0.678  0.125  0.250
Sn  0.875  0.928  0.750
I  0.250  0.750  0.500
Sn  0.375  0.322  0.750
Sn  0.072  0.625  0.250
I  0.500  0.500  0.000
Hg  0.750  0.250  0.500
Hg  0.000  0.000  0.000

Summary:
The calculation puts the offset from the most stable computed form at 141.6 meV per atom. Its total magnetization is 0.0 μB per formula unit. Its space-group type is I-42d.


Entry 2:
Entry from the Alexandria database: crystalline Sn2HgI at its relaxed geometry (PBE).

a = 3.541 Å, b = 3.541 Å, c = 11.565 Å
α = 81.19°, β = 81.19°, γ = 60.00°
Element x y z (fractional)
Hg  0.500  0.500  0.500
I  0.000  0.000  0.000
Sn  0.089  0.089  0.732
Sn  0.911  0.911  0.268

Summary:
The calculation puts the offset from the most stable computed form at 0.0 meV per atom. Its total magnetization is 0.0 μB per formula unit. Its space-group type is R-3m.


Entry 3:
Entry from the Alexandria database: crystalline Sn2HgI2 at its relaxed geometry (PBE).

a = 7.971 Å, b = 7.971 Å, c = 5.215 Å
α = 90.00°, β = 90.00°, γ = 90.00°
Element x y z (fractional)
I  0.817  0.317  0.500
Hg  0.500  0.500  0.000
I  0.683  0.817  0.500
I  0.183  0.683  0.500
Sn  0.850  0.650  0.000
Sn  0.150  0.350  0.000
Sn  0.350  0.850  0.000
Sn  0.650  0.150  0.000
I  0.317  0.183  0.500
Hg  0.000  0.000  0.000

Summary:
The calculation puts the offset from the most stable computed form at 0.0 meV per atom. Its total magnetization is 0.0 μB per formula unit. Its space-group type is P4/mbm.


Entry 4:
Entry from the Alexandria database: crystalline SnHg4I2 at its relaxed geometry (PBE).

a = 5.659 Å, b = 5.659 Å, c = 9.142 Å
α = 71.97°, β = 71.97°, γ = 90.00°
Element x y z (fractional)
I  0.355  0.355  0.290
Hg  0.176  0.176  0.648
Hg  0.500  0.000  0.000
Sn  0.000  0.000  0.000
Hg  0.000  0.500  0.000
Hg  0.824  0.824  0.352
I  0.645  0.645  0.710

Summary:
The calculation puts the raw total energy at -9.1 eV/cell. Its total magnetization is 0.0 μB per formula unit. Its space-group type is I4/mmm.


Entry 5:
Entry from the Alexandria database: crystalline TcSnHgI2 at its relaxed geometry (PBE).

a = 6.086 Å, b = 5.224 Å, c = 6.086 Å
α = 90.00°, β = 90.00°, γ = 90.00°
Element x y z (fractional)
I  0.500  0.000  0.000
I  0.000  0.000  0.500
Tc  0.000  0.500  0.000
Sn  0.000  0.000  0.000
Hg  0.500  0.500  0.500

Summary:
The calculation puts the raw total energy at -14.0 eV/cell. Its total magnetization is 4.4 μB per formula unit. Its space-group type is P4/mmm.


Entry 6:
Entry from the Alexandria database: crystalline TlSnHgI6 at its relaxed geometry (PBE).

a = 8.207 Å, b = 8.448 Å, c = 7.969 Å
α = 83.81°, β = 77.15°, γ = 60.96°
Element x y z (fractional)
I  0.354  0.670  0.249
Hg  0.016  0.967  0.000
I  0.686  0.009  0.183
I  0.306  0.008  0.817
Sn  0.285  0.430  0.500
Tl  0.673  0.655  0.499
I  0.102  0.295  0.321
I  0.975  0.670  0.751
I  0.603  0.296  0.679

Summary:
The calculation puts the raw total energy at -19.1 eV/cell. Its total magnetization is 0.9 μB per formula unit. Its space-group type is P1.


Entry 7:
Entry from the Alexandria database: crystalline Tl2SnHgI at its relaxed geometry (PBE).

a = 5.970 Å, b = 5.970 Å, c = 5.778 Å
α = 90.00°, β = 90.00°, γ = 90.00°
Element x y z (fractional)
Tl  0.000  0.500  0.000
Hg  0.000  0.000  0.500
Sn  0.000  0.000  0.000
Tl  0.500  0.000  0.000
I  0.500  0.500  0.500

Summary:
The calculation puts the raw total energy at -10.8 eV/cell. Its total magnetization is 0.0 μB per formula unit. Its space-group type is P4/mmm.


Entry 8:
Entry from the Alexandria database: crystalline Tl2SnHgI4 at its relaxed geometry (PBE).

a = 4.731 Å, b = 7.850 Å, c = 10.298 Å
α = 66.07°, β = 76.72°, γ = 72.46°
Element x y z (fractional)
I  0.377  0.313  0.933
I  0.623  0.687  0.067
Tl  0.802  0.691  0.705
Sn  0.000  0.000  0.000
Tl  0.198  0.309  0.295
Hg  0.500  0.500  0.500
I  0.148  0.028  0.676
I  0.852  0.972  0.324

Summary:
The calculation puts the raw total energy at -19.2 eV/cell. Its total magnetization is 0.0 μB per formula unit. Its space-group type is C2/m.